(1)
Here is crystalline SrTiTe2C at its relaxed geometry from Alexandria. Energies are from PBE.

Computed properties:
energy	-0.203	Ry per atom
formation energy without anion corrections	2.259	eV/atom
space group	P4/mmm (123)

a b c (Å): 6.033 6.001 6.033
angles (deg): 90.00 90.00 90.00
Last column: magnetic moment on the atom in μB.
Sites, in units of the cell vectors:
Ti: 0.000 0.500 0.000  -0.05
Te: 0.000 0.000 0.500  -0.12
Te: 0.500 0.000 0.000  -0.08
C: 0.500 0.500 0.500  0.97
Sr: 0.000 0.000 0.000  0.00

=====

(2)
Here is crystalline SrZn2TeC at its relaxed geometry from Alexandria. Energies are from PBE.

Computed properties:
energy	-0.134	Ry per atom
formation energy without anion corrections	1.493	eV/atom
space group	P4/mmm (123)

a b c (Å): 6.143 4.748 6.143
angles (deg): 90.00 90.00 90.00
Last column: magnetic moment on the atom in μB.
Sites, in units of the cell vectors:
C: 0.000 0.500 0.000  0.85
Te: 0.500 0.500 0.500  0.41
Zn: 0.000 0.000 0.500  0.02
Zn: 0.500 0.000 0.000  0.03
Sr: 0.000 0.000 0.000  0.10

=====

(3)
Here is crystalline Sr3TiC at its relaxed geometry from Alexandria. Energies are from PBE.

Computed properties:
energy of formation from the pure elements	788.7	meV/atom
energy	-0.268	Ry per atom
energy relative to the lowest polymorph listed for this composition	0	meV/atom
space group	Pm-3m (221)

a b c (Å): 5.488 5.488 5.488
angles (deg): 90.00 90.00 90.00
Last column: magnetic moment on the atom in μB.
Sites, in units of the cell vectors:
Sr: 0.000 0.500 0.000  0.06
Sr: 0.000 0.000 0.500  0.06
Sr: 0.500 0.000 0.000  0.08
C: 0.000 0.000 0.000  -0.19
Ti: 0.500 0.500 0.500  2.06

=====

(4)
Here is crystalline Sr2TiC4 at its relaxed geometry from Alexandria. Energies are from PBE.

Computed properties:
energy of formation from the pure elements	1017.1	meV/atom
energy	-0.431	Ry per atom
space group	I4/mmm (139)

a b c (Å): 4.126 4.126 7.420
angles (deg): 73.86 73.86 90.00
Sites, in units of the cell vectors:
Ti: 0.000 0.000 0.000
C: 0.000 0.500 0.000
C: 0.149 0.149 0.702
C: 0.851 0.851 0.298
C: 0.500 0.000 0.000
Sr: 0.355 0.355 0.290
Sr: 0.645 0.645 0.710

=====

(5)
Here is crystalline Sr2TiC at its relaxed geometry from Alexandria. Energies are from PBE.

Computed properties:
energy of formation from the pure elements	413.4	meV/atom
energy	-0.346	Ry per atom
space group	I-42d (122)

a b c (Å): 10.822 10.822 7.928
angles (deg): 46.95 46.95 90.00
Last column: magnetic moment on the atom in μB.
Sites, in units of the cell vectors:
Sr: 0.446 0.125 0.250  0.03
Sr: 0.304 0.625 0.250  0.03
Sr: 0.375 0.554 0.750  0.04
Sr: 0.875 0.696 0.750  0.03
Ti: 0.000 0.000 0.000  0.68
Ti: 0.750 0.250 0.500  0.70
C: 0.250 0.750 0.500  -0.04
C: 0.500 0.500 0.000  -0.04

=====

(6)
Here is crystalline SrTiC3 at its relaxed geometry from Alexandria. Energies are from PBE.

Computed properties:
energy of formation from the pure elements	3250.1	meV/atom
energy	-0.309	Ry per atom
energy relative to the lowest polymorph listed for this composition	2266	meV/atom
space group	Pm-3m (221)

a b c (Å): 4.327 4.327 4.327
angles (deg): 90.00 90.00 90.00
Sites, in units of the cell vectors:
Ti: 0.500 0.500 0.500
C: 0.000 0.000 0.500
C: 0.500 0.000 0.000
C: 0.000 0.500 0.000
Sr: 0.000 0.000 0.000